! KSbPb2 | Alexandria via LeMat-Bulk | PBE | optimized geometry; values from VASP
! calculated volume	293.5	Å³ per cell
! E_form (uncorrected)	-0.43	eV/f.u.
&SYSTEM
  ibrav = 0, nat = 8, ntyp = 3
/
ATOMIC_SPECIES
Pb 207.20 Pb.upf
Sb 121.76 Sb.upf
K 39.10 K.upf
ATOMIC_POSITIONS angstrom
Pb 7.3719 2.3007 0.8664
Pb 1.8309 6.9021 0.8664
Pb 6.9021 6.4323 2.5993
Pb 11.5036 11.9734 2.5993
Sb 0.0000 0.0000 0.0000
Sb 9.2029 4.6014 1.7329
K 4.6014 4.6014 0.0000
K 4.6014 9.2029 1.7329
CELL_PARAMETERS angstrom
9.2029 0.0000 0.0000
0.0000 9.2029 0.0000
4.6014 4.6014 3.4658